! Nb4Ga2C, relaxed, DFT PBE-GGA; values from VASP
&SYSTEM
  ibrav = 0, nat = 28, ntyp = 3
/
ATOMIC_SPECIES
Nb 92.91 Nb.upf
C 12.01 C.upf
Ga 69.72 Ga.upf
CELL_PARAMETERS angstrom
7.351 0.000 4.244
2.450 6.931 4.244
0.000 0.000 8.488
ATOMIC_POSITIONS angstrom
Nb 0.551 0.390 4.244
Nb 4.901 0.866 8.488
Nb 3.400 5.588 11.087
Nb 1.501 3.076 2.599
Nb 4.350 3.076 4.244
Nb 6.401 1.343 5.889
Nb 3.400 5.588 5.889
Nb 1.899 1.343 8.488
Nb 3.400 0.390 2.599
Nb 7.902 5.588 8.488
Nb 6.126 4.332 6.366
Nb 1.501 3.076 5.889
Nb 3.400 0.390 5.889
Nb 6.401 1.343 11.087
Nb 6.126 4.332 10.610
Nb 2.450 4.332 8.488
C 4.901 0.866 4.244
C 2.450 4.332 4.244
C 1.225 0.866 2.122
C 1.225 0.866 6.366
Ga 3.983 2.817 10.077
Ga 4.901 5.411 8.488
Ga 3.983 2.817 6.899
Ga 8.268 5.847 14.321
Ga 8.268 5.847 11.144
Ga 5.516 5.847 12.732
Ga 6.735 2.817 8.488
Ga 7.351 3.252 12.732
! **Total DFT energy (no corrections)**: -233.8 eV/cell
! **Crystal system**: cubic
! **Space-group type**: No. 227
! **ΔE_f**: -0.413 eV/atom